# 1
First-principles (GGA-PBE) data for an optimized crystal structure of FePb2, as listed in Alexandria.

extended XYZ file:
```
3
Lattice="6.806 0.024 0.000 5.101 4.506 0.000 -5.954 -2.265 2.398" Properties=species:S:1:pos:R:3 pbc="T T T"
Fe 0.000 0.000 0.000
Pb 7.539 2.868 0.000
Pb 4.368 1.662 0.000
```

Values from the calculation:
Total energy = -4.828 eV per atom
Symmetry = I4/mmm
DFT formation energy = 465 meV/atom


# 2
First-principles (GGA-PBE) data for an optimized crystal structure of Ta2Ti2V15, as listed in Alexandria.

extended XYZ file:
```
19
Lattice="6.562 -0.138 -0.123 0.714 6.525 -0.123 0.714 0.627 6.496" Properties=species:S:1:pos:R:3 pbc="T T T"
V 2.540 4.444 -0.123
Ta 5.286 4.640 4.134
V 3.203 5.642 2.178
Ta 2.705 2.374 2.115
V 1.981 4.569 4.072
V 4.736 0.101 1.943
Ti 7.170 6.293 5.607
V 4.736 1.942 -0.123
V 3.281 -0.069 -0.062
V 0.357 0.314 3.248
V 4.788 1.372 4.072
Ti 0.821 0.721 0.642
V 3.203 2.811 5.355
V 0.714 4.683 1.943
V 0.357 3.262 -0.062
V 6.010 2.444 2.178
V 4.788 4.202 0.895
V 0.714 2.468 4.429
V 2.540 0.388 4.429
```

Values from the calculation:
Total energy = -9.114 eV per atom
Symmetry = R-3m
DFT formation energy = 164 meV/atom


# 3
First-principles (GGA-PBE) data for an optimized crystal structure of BeTcCl2, as listed in Alexandria.

extended XYZ file:
```
4
Lattice="3.320 0.000 0.000 0.000 3.320 0.000 0.000 0.000 6.013" Properties=species:S:1:pos:R:3 pbc="T T T"
Cl 0.000 0.000 3.042
Be 1.660 1.660 4.510
Tc 1.660 1.660 1.503
Cl 0.000 0.000 5.977
```

Values from the calculation:
Energy relative to the lowest polymorph listed for this composition = 1065 meV/atom
Total energy = -3.635 eV per atom
Symmetry = P4/mmm
ΔE_f (raw) = 811 meV per atom


# 4
First-principles (GGA-PBE) data for an optimized crystal structure of SmZn2Ge2, as listed in Alexandria.

extended XYZ file:
```
5
Lattice="-3.075 -2.276 1.266 2.485 -1.979 2.479 -1.165 3.999 4.360" Properties=species:S:1:pos:R:3 pbc="T T T"
Sm 0.000 0.000 0.000
Zn 0.660 1.010 3.420
Zn -2.120 0.861 2.813
Ge -0.544 -1.271 2.806
Ge -1.210 1.015 5.299
```

Values from the calculation:
Energy relative to the lowest polymorph listed for this composition = 0 meV/atom
Total energy = -3.653 eV per atom
Symmetry = P4/mmm
DFT formation energy = -352 meV/atom


# 5
First-principles (GGA-PBE) data for an optimized crystal structure of BeN2ClO, as listed in Alexandria.

extended XYZ file:
```
5
Lattice="-2.058 1.497 3.335 -3.575 -0.026 -2.195 -0.558 -2.868 0.942" Properties=species:S:1:pos:R:3 pbc="T T T"
N -1.787 -0.013 -1.098
Cl -3.096 -0.698 1.041
O -0.279 -1.434 0.471
N -1.029 0.748 1.667
Be 0.000 0.000 0.000
```

Values from the calculation:
Total energy = -4.009 eV per atom
Symmetry = P4/mmm
ΔE_f (raw) = 1427 meV per atom


# 6
First-principles (GGA-PBE) data for an optimized crystal structure of CaVCu, as listed in Alexandria.

extended XYZ file:
```
6
Lattice="11.191 -0.087 -0.152 -0.766 3.148 0.050 0.203 -0.066 3.229" Properties=species:S:1:pos:R:3 pbc="T T T"
Cu 2.260 1.447 0.034
V 11.208 0.300 2.857
V 0.666 2.660 1.741
Ca 4.718 0.314 1.496
Ca 8.544 1.255 1.273
Cu 6.362 2.326 3.020
```

Values from the calculation:
Energy relative to the lowest polymorph listed for this composition = 0 meV/atom
Total energy = -4.821 eV per atom
Symmetry = P1
DFT formation energy = 251 meV/atom


# 7
First-principles (GGA-PBE) data for an optimized crystal structure of Co2HgH2, as listed in Alexandria.

extended XYZ file:
```
10
Lattice="6.241 0.000 0.000 0.000 6.241 0.000 0.000 0.000 2.662" Properties=species:S:1:pos:R:3 pbc="T T T"
H 3.667 0.547 0.000
Co 3.894 5.467 1.331
Co 5.467 2.346 1.331
Hg 0.000 0.000 0.000
H 2.574 5.694 0.000
Hg 3.120 3.120 0.000
Co 0.774 3.894 1.331
H 5.694 3.667 0.000
H 0.547 2.574 0.000
Co 2.346 0.774 1.331
```

Values from the calculation:
Energy relative to the lowest polymorph listed for this composition = 360 meV/atom
Total energy = -3.682 eV per atom
Symmetry = P4/mbm


# 8
First-principles (GGA-PBE) data for an optimized crystal structure of Tl3SeS, as listed in Alexandria.

extended XYZ file:
```
10
Lattice="5.225 0.001 2.178 2.209 7.331 2.054 -0.171 -1.574 7.767" Properties=species:S:1:pos:R:3 pbc="T T T"
Tl 4.140 0.364 4.779
Se 3.631 2.878 5.999
S 5.715 5.321 8.355
Tl 2.587 0.066 8.502
Se 0.000 0.000 0.000
Tl 3.122 5.393 7.220
Tl 4.676 5.691 3.497
S 1.548 0.436 3.643
Tl 1.560 3.809 3.615
Tl 5.703 1.948 8.383
```

Values from the calculation:
Energy relative to the lowest polymorph listed for this composition = 0 meV/atom
Total energy = -3.190 eV per atom
Symmetry = Imma
ΔE_f (raw) = -248 meV per atom


# 9
First-principles (GGA-PBE) data for an optimized crystal structure of Sm3GaIr, as listed in Alexandria.

extended XYZ file:
```
10
Lattice="4.091 0.004 0.001 -2.039 7.582 0.177 0.002 -0.067 8.449" Properties=species:S:1:pos:R:3 pbc="T T T"
Sm -0.063 1.466 3.268
Sm 1.986 1.952 6.891
Sm 1.982 7.259 0.500
Sm -0.065 6.708 5.326
Ir 1.983 1.990 1.308
Sm 1.983 4.706 3.318
Ga -0.061 3.673 5.544
Ga 1.982 4.987 6.671
Sm -0.065 4.020 0.449
Ir -0.065 6.735 2.460
```

Values from the calculation:
Total energy = -5.721 eV per atom
Symmetry = P-1
DFT formation energy = -512 meV/atom


# 10
First-principles (GGA-PBE) data for an optimized crystal structure of KUCoS3, as listed in Alexandria.

extended XYZ file:
```
12
Lattice="-0.024 2.333 -3.028 6.023 -5.122 -3.995 -8.316 -2.833 -2.116" Properties=species:S:1:pos:R:3 pbc="T T T"
S 1.429 -1.042 -4.434
S -3.302 -0.684 -4.121
U 2.725 -3.364 -3.820
S 4.070 -3.181 -6.103
S -6.387 -2.441 -3.036
K -1.521 -4.503 -7.077
K -0.796 -1.119 -2.062
U -5.042 -2.258 -5.319
S -3.746 -4.580 -4.705
S 0.985 -4.937 -5.019
Co -4.421 -1.510 -2.334
Co 2.104 -4.112 -6.805
```

Values from the calculation:
Total energy = -6.443 eV per atom
Symmetry = P2_1/m
ΔE_f (raw) = -1131 meV per atom


# 11
First-principles (GGA-PBE) data for an optimized crystal structure of ReRu, as listed in Alexandria.

extended XYZ file:
```
8
Lattice="-2.569 3.037 -3.341 3.037 -1.682 -3.864 -3.115 -3.603 -0.880" Properties=species:S:1:pos:R:3 pbc="T T T"
Re -0.336 -1.955 -4.135
Re 0.386 1.117 -5.936
Ru 1.277 -0.200 -3.700
Ru -0.808 1.555 -3.505
Re -2.310 -0.293 -3.950
Ru -1.470 -1.550 -1.780
Re 0.083 0.239 -1.269
Ru -1.176 -0.698 -6.306
```

Values from the calculation:
Total energy = -9.839 eV per atom
Symmetry = P4_2/mnm
DFT formation energy = 1023 meV/atom


# 12
First-principles (GGA-PBE) data for an optimized crystal structure of Pr4Ge8Ir, as listed in Alexandria.

extended XYZ file:
```
13
Lattice="4.140 0.000 0.000 0.000 4.291 0.000 0.000 0.000 16.909" Properties=species:S:1:pos:R:3 pbc="T T T"
Ir 0.000 0.000 5.317
Pr 0.000 2.145 10.275
Pr 0.000 0.000 1.747
Ge 2.070 0.000 9.367
Ge 0.000 0.000 12.655
Ge 0.000 0.000 7.778
Pr 2.070 0.000 15.126
Ge 2.070 2.145 12.744
Pr 2.070 2.145 6.723
Ge 2.070 2.145 0.762
Ge 2.070 0.000 4.003
Ge 0.000 2.145 4.031
Ge 0.000 2.145 16.047
```

Values from the calculation:
Total energy = -5.620 eV per atom
Symmetry = Pmm2
DFT formation energy = -626 meV/atom


# 13
First-principles (GGA-PBE) data for an optimized crystal structure of Pr3Y3Er, as listed in Alexandria.

extended XYZ file:
```
14
Lattice="-7.173 -3.726 -3.517 -2.443 -8.091 2.506 -7.280 -1.075 4.939" Properties=species:S:1:pos:R:3 pbc="T T T"
Pr -8.607 -10.390 0.735
Pr -8.442 -5.173 -1.970
Y -10.047 -3.892 0.774
Y -10.540 -8.692 2.999
Er -10.270 -5.165 4.323
Y -10.386 -7.371 -0.461
Y -6.356 -4.199 0.929
Pr -4.315 -6.570 1.976
Pr -8.288 -2.501 3.194
Pr -8.453 -7.718 5.898
Y -6.510 -5.520 4.390
Y -6.848 -8.999 3.154
Er -6.626 -7.726 -0.395
Pr -12.581 -6.321 1.953
```

Values from the calculation:
Total energy = -5.221 eV per atom
Symmetry = R-3
DFT formation energy = 250 meV/atom


# 14
First-principles (GGA-PBE) data for an optimized crystal structure of Cs2KNpF8, as listed in Alexandria.

extended XYZ file:
```
12
Lattice="6.479 0.000 0.000 0.000 6.479 0.000 -3.240 -3.240 6.048" Properties=species:S:1:pos:R:3 pbc="T T T"
F -1.249 1.937 4.303
Cs 3.240 0.000 3.024
K 3.240 3.240 0.000
F 1.249 -1.937 4.303
F 1.249 1.937 4.303
F 5.177 1.990 1.746
Cs 0.000 0.000 0.000
Np 0.000 3.240 3.024
F 1.302 4.489 1.746
F -1.249 -1.937 4.303
F 1.302 1.990 1.746
F 5.177 4.489 1.746
```

Values from the calculation:
Total energy = -5.657 eV per atom
Symmetry = I-4m2
ΔE_f (raw) = -3098 meV per atom


# 15
First-principles (GGA-PBE) data for an optimized crystal structure of Mn3CrFe, as listed in Alexandria.

extended XYZ file:
```
10
Lattice="-2.745 -0.573 -2.865 -2.981 -1.616 3.180 -2.919 5.112 1.775" Properties=species:S:1:pos:R:3 pbc="T T T"
Mn -3.659 -0.084 2.120
Mn -2.626 0.235 -1.738
Mn -6.774 3.367 1.610
Fe -4.416 0.626 -0.101
Mn -4.987 3.007 -0.030
Mn -1.872 -0.443 0.480
Cr -2.448 1.913 0.560
Fe -4.230 2.297 2.191
Cr -6.198 1.010 1.529
Mn -6.019 2.688 3.828
```

Values from the calculation:
Energy relative to the lowest polymorph listed for this composition = 0 meV/atom
Total energy = -9.002 eV per atom
Symmetry = P2_1/m
DFT formation energy = 117 meV/atom


# 16
First-principles (GGA-PBE) data for an optimized crystal structure of MgMnCo, as listed in Alexandria.

extended XYZ file:
```
6
Lattice="3.906 0.000 0.000 1.955 4.577 -0.026 -1.955 0.215 4.571" Properties=species:S:1:pos:R:3 pbc="T T T"
Mn 0.694 1.288 0.775
Co 2.648 3.648 -0.006
Mn 2.646 2.925 3.847
Mg 4.600 3.944 1.870
Co 2.646 2.054 1.673
Mg 0.693 1.084 3.525
```

Values from the calculation:
Energy relative to the lowest polymorph listed for this composition = 148 meV/atom
Total energy = -5.742 eV per atom
Symmetry = Imm2
DFT formation energy = 215 meV/atom


# 17
First-principles (GGA-PBE) data for an optimized crystal structure of Sc2OsAuC, as listed in Alexandria.

extended XYZ file:
```
5
Lattice="4.590 0.000 0.000 0.000 4.590 0.000 0.000 0.000 3.886" Properties=species:S:1:pos:R:3 pbc="T T T"
Sc 0.000 2.295 0.000
Os 0.000 0.000 1.943
Sc 2.295 0.000 0.000
Au 2.295 2.295 1.943
C 0.000 0.000 0.000
```

Values from the calculation:
Total energy = -7.827 eV per atom
Symmetry = P4/mmm
DFT formation energy = -548 meV/atom


# 18
First-principles (GGA-PBE) data for an optimized crystal structure of BaTaOs2, as listed in Alexandria.

extended XYZ file:
```
4
Lattice="-3.153 3.643 1.200 -0.026 -1.570 4.710 2.520 1.956 0.660" Properties=species:S:1:pos:R:3 pbc="T T T"
Ta -0.317 2.799 0.930
Os -1.589 1.036 2.955
Os 0.000 0.000 0.000
Ba 1.247 0.193 2.685
```

Values from the calculation:
Energy relative to the lowest polymorph listed for this composition = 828 meV/atom
Total energy = -7.877 eV per atom
Symmetry = C2/m
DFT formation energy = 1182 meV/atom


# 19
First-principles (GGA-PBE) data for an optimized crystal structure of HfTlTe2, as listed in Alexandria.

extended XYZ file:
```
4
Lattice="3.600 0.000 0.000 0.000 3.600 0.000 0.000 0.000 8.568" Properties=species:S:1:pos:R:3 pbc="T T T"
Hf 1.800 1.800 0.000
Te 0.000 0.000 1.700
Te 0.000 0.000 6.867
Tl 1.800 1.800 4.284
```

Values from the calculation:
Total energy = -5.124 eV per atom
Symmetry = P4/mmm
ΔE_f (raw) = -474 meV per atom


# 20
First-principles (GGA-PBE) data for an optimized crystal structure of UPdS, as listed in Alexandria.

extended XYZ file:
```
3
Lattice="-2.949 -1.617 -1.166 1.768 -3.084 -0.196 -0.553 1.429 4.853" Properties=species:S:1:pos:R:3 pbc="T T T"
U -0.640 -0.515 2.335
S -0.869 -2.574 0.333
Pd -1.618 -3.177 3.064
```

Values from the calculation:
Energy relative to the lowest polymorph listed for this composition = 0 meV/atom
Total energy = -7.544 eV per atom
Symmetry = I4mm
ΔE_f (raw) = -675 meV per atom